A plane-wave DFT calculation with GGA-PBE was carried out for an optimized crystal structure of CaIr2Os.

Lattice parameters (Å, degrees): 2.7627 4.6086 5.4374 90.00 102.22 90.00
Space group P2/m (No. 10)
One atom of each set of equivalent atoms:
Ca (0.0000, 0.0000, 0.0000) (multiplicity 1)
Ir (0.3489, 0.5000, 0.7153) (multiplicity 2)
Os (0.5000, 0.0000, 0.5000) (multiplicity 1)

total moment	0.03	μB per formula unit
volume	67.7	Å³/cell
energy	-29.55	eV per cell